[1]
The following is a GGA-PBE calculation of a relaxed structure of AcPr2Pu, from the Alexandria database.

Cell lengths 3.7322, 3.7322, 10.3743 Å; angles 90.00, 90.00, 90.00 degrees
Site moments in Bohr magnetons follow the coordinates.
Positions (direct):
1 Pr 0.0000 0.0000 0.7291  0.09
2 Pr 0.0000 0.0000 0.2709  0.09
3 Ac 0.5000 0.5000 0.0000  -0.02
4 Pu 0.5000 0.5000 0.5000  5.64

## Properties
* formation energy from the elements: 141.6 meV/atom
* uncorrected energy: -27.43 eV per cell
* volume: 144.5 Å³/f.u.
* size of the total moment: 6.5 μB per formula unit
* crystal system: tetragonal
* ΔE to the lowest computed polymorph: 0.0 kJ/mol of atoms
* theoretical density: 8.65 g/cm3

[2]
The following is a GGA-PBE calculation of a relaxed structure of Ac2PrPu, from the Alexandria database.

Cell lengths 5.1768, 5.4103, 5.4103 Å; angles 90.00, 90.00, 90.00 degrees
Site moments in Bohr magnetons follow the coordinates.
Positions (direct):
1 Pr 0.5000 0.0000 0.0000  0.07
2 Ac 0.0000 0.0000 0.5000  0.09
3 Ac 0.0000 0.5000 0.0000  0.09
4 Pu 0.5000 0.5000 0.5000  5.62

## Properties
* formation energy from the elements: 183.5 meV/atom
* uncorrected energy: -26.59 eV per cell
* volume: 151.5 Å³/f.u.
* size of the total moment: 6.8 μB per formula unit
* crystal system: tetragonal
* ΔE to the lowest computed polymorph: 2.9 kJ/mol of atoms
* theoretical density: 9.19 g/cm3

[3]
The following is a GGA-PBE calculation of a relaxed structure of Ac2PrPu, from the Alexandria database.

Cell lengths 3.8166, 3.8166, 10.5100 Å; angles 90.00, 90.00, 90.00 degrees
Site moments in Bohr magnetons follow the coordinates.
Positions (direct):
1 Pr 0.5000 0.5000 0.5000  -0.07
2 Ac 0.0000 0.0000 0.7585  0.09
3 Ac 0.0000 0.0000 0.2414  0.09
4 Pu 0.5000 0.5000 0.0000  5.71

## Properties
* formation energy from the elements: 153.3 meV/atom
* uncorrected energy: -26.72 eV per cell
* volume: 153.1 Å³/f.u.
* size of the total moment: 6.6 μB per formula unit
* crystal system: tetragonal
* ΔE to the lowest computed polymorph: 0.0 kJ/mol of atoms
* theoretical density: 9.10 g/cm3